# LiV2F9

LiV2F9 at its PBEsol-relaxed geometry (SCAN, Alexandria via LeMat-Bulk).

a = 7.381 Å, b = 9.948 Å, c = 9.579 Å
α = 90.00°, β = 90.00°, γ = 90.00°
Sites, in units of the cell vectors:
Li  0.027  0.250  0.061
Li  0.473  0.750  0.561
Li  0.527  0.250  0.439
Li  0.973  0.750  0.939
V  0.103  0.560  0.249
V  0.103  0.940  0.249
V  0.397  0.060  0.749
V  0.397  0.440  0.749
V  0.603  0.560  0.251
V  0.603  0.940  0.251
V  0.897  0.060  0.751
V  0.897  0.440  0.751
F  0.047  0.621  0.078
F  0.047  0.879  0.078
F  0.084  0.113  0.196
F  0.084  0.387  0.196
F  0.121  0.750  0.300
F  0.146  0.065  0.700
F  0.146  0.435  0.700
F  0.165  0.526  0.421
F  0.165  0.974  0.421
F  0.335  0.026  0.921
F  0.335  0.474  0.921
F  0.354  0.565  0.200
F  0.354  0.935  0.200
F  0.379  0.250  0.800
F  0.416  0.613  0.696
F  0.416  0.887  0.696
F  0.453  0.121  0.578
F  0.453  0.379  0.578
F  0.547  0.621  0.422
F  0.547  0.879  0.422
F  0.584  0.113  0.304
F  0.584  0.387  0.304
F  0.621  0.750  0.200
F  0.646  0.065  0.800
F  0.646  0.435  0.800
F  0.665  0.526  0.079
F  0.665  0.974  0.079
F  0.835  0.026  0.579
F  0.835  0.474  0.579
F  0.854  0.565  0.300
F  0.854  0.935  0.300
F  0.879  0.250  0.700
F  0.916  0.613  0.804
F  0.916  0.887  0.804
F  0.953  0.121  0.922
F  0.953  0.379  0.922

Output
theoretical density: 2.6 Mg/m³
energy relative to the lowest polymorph listed for this composition: 0 kJ/mol of formula units
ΔE_f (raw): -3.052 eV per atom
size of the total moment: 8.00 μB per cell